# PBE-GGA SmSn2Te, relaxed
# E_tot (eV per atom): -3.902
data_SmSn2Te
_cell_length_a 6.325
_cell_length_b 25.668
_cell_length_c 3.173
_cell_angle_alpha 90.00
_cell_angle_beta 90.00
_cell_angle_gamma 90.00
_symmetry_space_group_name_H-M 'C m m m'
_symmetry_Int_Tables_number 65
_symmetry_space_group_name_Hall '-C 2 2'
loop_
_atom_site_label
_atom_site_fract_x
_atom_site_fract_y
_atom_site_fract_z
Sm1 0.000 0.067 0.000
Sn1 0.000 0.193 0.000
Sn2 0.000 0.440 0.000
Te1 0.000 0.311 0.000